Below is a geometry-optimized Li3Co2Si2O8 structure, with properties calculated at the PBE+U level.

a = 5.0045 Å, b = 5.3097 Å, c = 6.5705 Å
α = 90.85°, β = 90.22°, γ = 90.49°
With the nearest neighbours (Å) after each atom.
Fractional positions:
Li1 0.9945 0.8382 0.5065  4 O 1.92-2.13
Li2 0.4922 0.1607 0.5057  4 O 1.94-2.16
Li3 0.4961 0.6565 0.2770  3 O 1.94-2.09
O1 0.5536 0.3797 0.7649  1 Si 1.66, 1 Co 1.82
O2 0.6714 0.3039 0.2317  1 Si 1.69
O3 0.6014 0.8303 0.9606  1 Si 1.72
O4 0.1604 0.7221 0.7526  1 Si 1.62
O5 0.1112 0.1768 0.4520  1 Si 1.59
O6 0.6052 0.8008 0.5383  1 Si 1.62
O7 0.0969 0.6204 0.2444  1 Si 1.65
O8 0.1305 0.1719 0.0484  1 Si 1.69
Co1 0.0029 0.8174 0.0039  4 O 1.90-2.03
Co2 0.5054 0.1859 0.9881  4 O 1.82-1.96
Si1 0.4814 0.6835 0.7432  4 O 1.62-1.72
Si2 0.0074 0.3208 0.2572  4 O 1.59-1.69

Calculated values
Theoretical density, g cm⁻³: 3.07
Total energy, eV per cell: -97.06
Crystal system: triclinic
Symmetry: P1 (1)
M_tot, μB/atom: 0.468
Energy above the most stable polymorph in this dataset, meV per atom: 34